[1]
Material: LiPr5Al4
Method: DFT, GGA-PBE
State: optimized geometry

Output
space-group type: P4/mmm, No. 123
ρ: 5.04 g/cm3
energy: -4.3483 eV/atom
energy of formation: -260.6 kJ/mol of formula units

Cell lengths 3.7473, 3.7473, 19.2160 Å; angles 90.00, 90.00, 90.00 degrees
Positions (direct):
Li 0.0000 0.0000 0.0000
Pr 0.5000 0.5000 0.1108
Pr 0.5000 0.5000 0.3047
Pr 0.5000 0.5000 0.5000
Pr 0.5000 0.5000 0.6953
Pr 0.5000 0.5000 0.8892
Al 0.0000 0.0000 0.2033
Al 0.0000 0.0000 0.4021
Al 0.0000 0.0000 0.5979
Al 0.0000 0.0000 0.7967

=====

[2]
Material: LiPrAl
Method: DFT, GGA-PBE
State: optimized geometry

Output
space-group type: C2/m, No. 12
offset from the most stable computed form: 0.259 eV/f.u.
ρ: 4.18 g/cm3
energy: -3.6087 eV/atom
energy of formation: -37.6 kJ/mol of formula units

Cell lengths 5.9175, 5.9175, 5.1682 Å; angles 115.78, 115.78, 63.06 degrees
Positions (direct):
Li 0.0127 0.0127 0.2627
Li 0.9873 0.9873 0.7373
Pr 0.3896 0.3896 0.6394
Pr 0.6104 0.6104 0.3606
Al 0.0000 0.5000 0.0000
Al 0.5000 0.0000 0.0000

=====

[3]
Material: LiPr4Al3
Method: DFT, GGA-PBE
State: optimized geometry

Output
space-group type: R-3m, No. 166
ρ: 5.05 g/cm3
energy: -4.2995 eV/atom
energy of formation: -206.2 kJ/mol of formula units

Cell lengths 9.2500, 9.2500, 9.2500 Å; angles 33.47, 33.47, 33.47 degrees
Positions (direct):
Li 0.0000 0.0000 0.0000
Pr 0.1264 0.1264 0.1264
Pr 0.3771 0.3771 0.3771
Pr 0.6229 0.6229 0.6229
Pr 0.8736 0.8736 0.8736
Al 0.2533 0.2533 0.2533
Al 0.5000 0.5000 0.5000
Al 0.7467 0.7467 0.7467

=====

[4]
Material: LiPrAl
Method: DFT, GGA-PBE
State: optimized geometry

Output
space-group type: I4mm, No. 107
offset from the most stable computed form: 0.411 eV/f.u.
ρ: 4.14 g/cm3
energy: -3.5580 eV/atom
energy of formation: -23.0 kJ/mol of formula units

Cell lengths 6.3764, 6.3764, 6.3764 Å; angles 148.61, 148.61, 44.99 degrees
Positions (direct):
Li 0.0000 0.0000 0.0000
Pr 0.2940 0.2940 0.0000
Al 0.6126 0.6126 0.0000